Below is an optimized crystal structure of Ni2SnI, with properties calculated at the PBEsol level.

Values from the calculation:
formation energy from raw total energies = 431 meV per atom
calculated volume = 17.41 Å³/atom
D(E_F) = 0.327 states/eV per atom

a b c (Å): 4.618 4.618 4.618
angles (deg): 60.00 60.00 60.00
Atoms (fractional coordinates):
I 0.500 0.500 0.500
Ni 0.250 0.250 0.250
Ni 0.750 0.750 0.750
Sn 0.000 0.000 0.000